The following is a PBE calculation of a relaxed Na3NbPd crystal, from Alexandria.

Output
* relative energy among the computed polymorphs: 6.100 kcal/mol of atoms
* E_form: 1525 meV per atom

a = 5.728 Å, b = 5.728 Å, c = 5.728 Å
α = 90.00°, β = 90.00°, γ = 90.00°
Atoms (fractional coordinates):
1 Na 0.000 0.500 0.000
2 Na 0.000 0.000 0.500
3 Na 0.500 0.000 0.000
4 Nb 0.000 0.000 0.000
5 Pd 0.500 0.500 0.500

=====

The following is a PBE calculation of a relaxed K2Sr2Ag crystal, from Alexandria.

Output
* E_form: 88 meV per atom

a = 8.594 Å, b = 8.594 Å, c = 7.370 Å
α = 90.00°, β = 90.00°, γ = 90.00°
Atoms (fractional coordinates):
1 Sr 0.329 0.829 0.000
2 Sr 0.829 0.671 0.000
3 Sr 0.671 0.171 0.000
4 Sr 0.171 0.329 0.000
5 K 0.172 0.672 0.500
6 K 0.672 0.828 0.500
7 K 0.828 0.328 0.500
8 K 0.328 0.172 0.500
9 Ag 0.000 0.000 0.000
10 Ag 0.500 0.500 0.000

=====

The following is a PBE calculation of a relaxed Tm4CuPt2 crystal, from Alexandria.

Output
* E_form: -871 meV per atom

a = 4.830 Å, b = 4.830 Å, c = 8.356 Å
α = 73.20°, β = 73.20°, γ = 60.00°
Atoms (fractional coordinates):
1 Tm 0.874 0.874 0.377
2 Tm 0.126 0.126 0.623
3 Tm 0.624 0.624 0.127
4 Tm 0.376 0.376 0.873
5 Pt 0.751 0.751 0.747
6 Pt 0.249 0.249 0.253
7 Cu 0.000 0.000 0.000